No. 1
## CrHgN3 (PBE)

Data for a relaxed structure of CrHgN3.

Calculated values
**Size of the total moment**: 0.7 μB per cell
**E**: -3.97 eV per atom

Unit cell a=4.072 b=4.072 c=4.072 alpha=90.00 beta=90.00 gamma=90.00
Space group Pm-3m (No. 221)
Symmetry-distinct sites (fractional):
Cr: 0.000 0.000 0.000 [1 per cell]
Hg: 0.500 0.500 0.500 [1 per cell]
N: 0.000 0.500 0.500 [3 per cell]

No. 2
## CrHg2N (PBE)

Data for a relaxed structure of CrHg2N.

Calculated values
**Size of the total moment**: 12.2 μB per cell
**E**: -4.20 eV per atom

Unit cell a=9.827 b=9.827 c=3.642 alpha=90.00 beta=90.00 gamma=90.00
Space group I-42d (No. 122)
Symmetry-distinct sites (fractional):
Cr: 0.000 0.000 0.000 [4 per cell]
Hg: 0.125 0.250 0.625 [8 per cell]
N: 0.000 0.000 0.500 [4 per cell]

No. 3
## CrHg3N (PBE)

Data for a relaxed structure of CrHg3N.

Calculated values
**Size of the total moment**: 4.7 μB per cell
**E**: -2.10 eV per atom

Unit cell a=5.312 b=5.312 c=5.312 alpha=90.00 beta=90.00 gamma=90.00
Space group Pm-3m (No. 221)
Symmetry-distinct sites (fractional):
Cr: 0.000 0.000 0.000 [1 per cell]
Hg: 0.000 0.000 0.500 [3 per cell]
N: 0.500 0.500 0.500 [1 per cell]

No. 4
## CrHgN3 (PBE)

Data for a relaxed structure of CrHgN3.

Calculated values
**Size of the total moment**: 0.0 μB per cell
**E**: -5.91 eV per atom

Unit cell a=3.802 b=3.802 c=3.802 alpha=90.00 beta=90.00 gamma=90.00
Space group Pm-3m (No. 221)
Symmetry-distinct sites (fractional):
Cr: 0.000 0.000 0.000 [1 per cell]
Hg: 0.500 0.500 0.500 [1 per cell]
N: 0.000 0.000 0.500 [3 per cell]

No. 5
## NaCrHg2N (PBE)

Data for a relaxed structure of NaCrHg2N.

Calculated values
**Size of the total moment**: 2.6 μB per cell
**E**: -2.28 eV per atom

Unit cell a=5.682 b=5.682 c=5.747 alpha=90.00 beta=90.00 gamma=90.00
Space group P4/mmm (No. 123)
Symmetry-distinct sites (fractional):
Na: 0.000 0.000 0.000 [1 per cell]
Cr: 0.000 0.000 0.500 [1 per cell]
Hg: 0.000 0.500 0.000 [2 per cell]
N: 0.500 0.500 0.500 [1 per cell]

What is the size of the total moment in the fifth record?
2.6 μB per cell

Number 2 is which compound?
CrHg2N

Which value of E does entry 5 give?
-2.28 eV per atom